Entry 1:
Entry from the Alexandria database: an optimized crystal structure of NaHoNpO6 (PBE-GGA).

Results
DOS(E_F) (states/eV/f.u.): 9.3
E_tot (eV/atom): -7.88
Raw formation energy (kJ/mol of formula units): -2154

Cell: 5.148 5.148 10.204 Å, 90.00 90.00 90.00°
Element x y z (fractional)
O 0.676 0.676 0.983
O 0.824 0.176 0.483
O 0.778 0.222 0.823
O 0.307 0.307 0.693
O 0.278 0.278 0.323
O 0.222 0.778 0.823
O 0.176 0.824 0.483
O 0.324 0.324 0.983
O 0.193 0.807 0.193
O 0.722 0.722 0.323
O 0.693 0.693 0.693
O 0.807 0.193 0.193
Ho 0.000 0.000 0.669
Ho 0.500 0.500 0.169
Na 0.500 0.500 0.499
Na 0.000 0.000 0.999
Np 0.000 0.000 0.333
Np 0.500 0.500 0.833



Entry 2:
Entry from the Alexandria database: an optimized crystal structure of NaHoNp2O8 (PBE-GGA).

Results
DOS(E_F) (states/eV/f.u.): 10.2
E_tot (eV/atom): -8.70
Raw formation energy (kJ/mol of formula units): -3185

Cell: 5.312 5.312 6.403 Å, 114.51 114.51 90.00°
Element x y z (fractional)
Ho 0.000 0.000 0.000
O 0.603 0.122 0.754
O 0.603 0.632 0.754
O 0.150 0.121 0.754
O 0.879 0.397 0.246
O 0.368 0.397 0.246
O 0.878 0.849 0.246
O 0.151 0.632 0.754
O 0.368 0.850 0.246
Na 0.750 0.250 0.500
Np 0.500 0.500 0.000
Np 0.250 0.750 0.500



Entry 3:
Entry from the Alexandria database: an optimized crystal structure of Na3Ho3NpO8 (PBE-GGA).

Results
DOS(E_F) (states/eV/f.u.): 11.2
E_tot (eV/atom): -7.49
Raw formation energy (kJ/mol of formula units): -4061

Cell: 6.876 6.876 6.880 Å, 119.99 89.99 120.00°
Element x y z (fractional)
O 0.772 0.030 0.301
O 0.264 0.529 0.293
O 0.258 0.030 0.301
O 0.228 0.970 0.699
O 0.742 0.970 0.699
O 0.772 0.544 0.301
O 0.228 0.456 0.699
O 0.736 0.471 0.707
Ho 0.500 0.000 0.500
Ho 0.500 0.500 0.500
Ho 0.000 0.500 0.500
Na 0.000 0.000 0.000
Na 0.000 0.500 0.000
Na 0.500 0.500 0.000
Np 0.000 0.000 0.500



Entry 4:
Entry from the Alexandria database: an optimized crystal structure of NaHo2NpO6 (PBE-GGA).

Results
DOS(E_F) (states/eV/f.u.): 8.3
E_tot (eV/atom): -8.37
Raw formation energy (kJ/mol of formula units): -2949

Cell: 5.821 5.821 6.108 Å, 61.54 61.54 60.00°
Element x y z (fractional)
Ho 0.527 0.527 0.419
Ho 0.016 0.016 0.951
O 0.700 0.154 0.766
O 0.930 0.601 0.232
O 0.601 0.236 0.232
O 0.236 0.930 0.232
O 0.154 0.381 0.766
O 0.381 0.700 0.766
Np 0.318 0.318 0.046
Na 0.798 0.798 0.606



Entry 5:
Entry from the Alexandria database: an optimized crystal structure of NaHo2NpO8 (PBE-GGA).

Results
E_tot (eV/atom): -7.83
Raw formation energy (kJ/mol of formula units): -2983

Cell: 5.481 4.474 6.976 Å, 89.96 90.00 89.62°
Element x y z (fractional)
O 0.849 0.229 0.789
O 0.674 0.732 0.000
O 0.326 0.268 0.000
O 0.151 0.771 0.211
O 0.548 0.841 0.500
O 0.849 0.229 0.210
O 0.151 0.771 0.790
O 0.452 0.159 0.500
Ho 0.500 0.500 0.760
Ho 0.500 0.500 0.240
Na 0.000 0.000 0.500
Np 0.000 0.000 0.000



Entry 6:
Entry from the Alexandria database: an optimized crystal structure of Na2Ho2NpS6 (PBE-GGA).

Results
DOS(E_F) (states/eV/f.u.): 6.5
E_tot (eV/atom): -6.17
Raw formation energy (kJ/mol of formula units): -1771

Cell: 6.879 6.879 7.109 Å, 99.29 99.29 119.86°
Element x y z (fractional)
S 0.252 0.252 0.281
S 0.931 0.598 0.281
S 0.402 0.069 0.719
S 0.069 0.402 0.719
S 0.748 0.748 0.719
S 0.598 0.931 0.281
Np 0.000 0.000 0.500
Ho 0.334 0.666 0.500
Ho 0.666 0.334 0.500
Na 0.169 0.831 0.000
Na 0.831 0.169 0.000



Entry 7:
Entry from the Alexandria database: an optimized crystal structure of Na3Ho2NpS6 (PBE-GGA).

Results
DOS(E_F) (states/eV/f.u.): 8.2
E_tot (eV/atom): -5.90
Raw formation energy (kJ/mol of formula units): -1929

Cell: 6.919 6.919 7.065 Å, 99.39 99.39 119.95°
Element x y z (fractional)
S 0.413 0.076 0.227
S 0.738 0.738 0.228
S 0.076 0.413 0.227
S 0.924 0.587 0.773
S 0.587 0.924 0.773
S 0.262 0.262 0.772
Na 0.500 0.500 0.500
Na 0.833 0.167 0.500
Na 0.167 0.833 0.500
Np 0.000 0.000 0.000
Ho 0.666 0.334 0.000
Ho 0.334 0.666 0.000



Entry 8:
Entry from the Alexandria database: an optimized crystal structure of Na4Ho3NpSe8 (PBE-GGA).

Results
DOS(E_F) (states/eV/f.u.): 6.8
E_tot (eV/atom): -5.31
Raw formation energy (kJ/mol of formula units): -2422

Cell: 8.307 8.483 8.307 Å, 119.35 120.00 90.00°
Element x y z (fractional)
Np 0.000 0.500 0.000
Se 0.261 0.270 0.016
Se 0.246 0.730 0.984
Se 0.743 0.729 0.486
Se 0.246 0.730 0.491
Se 0.257 0.271 0.514
Se 0.739 0.730 0.984
Se 0.754 0.270 0.509
Se 0.754 0.270 0.016
Na 0.500 0.000 0.500
Na 0.500 0.000 0.000
Na 0.000 0.000 0.000
Na 0.000 0.000 0.500
Ho 0.000 0.500 0.500
Ho 0.500 0.500 0.000
Ho 0.500 0.500 0.500



Entry 9:
Entry from the Alexandria database: an optimized crystal structure of Na3Ho2NpSe6 (PBE-GGA).

Results
DOS(E_F) (states/eV/f.u.): 6.9
E_tot (eV/atom): -5.44
Raw formation energy (kJ/mol of formula units): -1763

Cell: 7.207 7.207 7.398 Å, 99.34 99.34 119.93°
Element x y z (fractional)
Ho 0.334 0.666 0.000
Ho 0.666 0.334 0.000
Np 0.000 0.000 0.000
Na 0.833 0.167 0.500
Na 0.500 0.500 0.500
Na 0.167 0.833 0.500
Se 0.738 0.738 0.231
Se 0.262 0.262 0.769
Se 0.415 0.077 0.230
Se 0.077 0.415 0.230
Se 0.923 0.585 0.770
Se 0.585 0.923 0.770



Entry 10:
Entry from the Alexandria database: an optimized crystal structure of Na4HoNp3Se8 (PBE-GGA).

Results
DOS(E_F) (states/eV/f.u.): 21.5
E_tot (eV/atom): -6.17
Raw formation energy (kJ/mol of formula units): -2139

Cell: 8.381 8.486 8.400 Å, 119.59 119.92 90.00°
Element x y z (fractional)
Np 0.500 0.500 0.000
Np 0.500 0.500 0.500
Np 0.000 0.500 0.500
Na 0.500 0.000 0.000
Na 0.500 0.000 0.500
Na 0.000 0.000 0.000
Na 0.000 0.000 0.500
Se 0.252 0.268 0.010
Se 0.241 0.732 0.990
Se 0.758 0.270 0.517
Se 0.748 0.732 0.990
Se 0.759 0.268 0.010
Se 0.242 0.730 0.483
Se 0.256 0.269 0.511
Se 0.744 0.731 0.489
Ho 0.000 0.500 0.000



Entry 11:
Entry from the Alexandria database: an optimized crystal structure of NaHoNp2Se4 (PBE-GGA).

Results
DOS(E_F) (states/eV/f.u.): 19.7
E_tot (eV/atom): -7.03
Raw formation energy (kJ/mol of formula units): -1012

Cell: 4.107 7.146 7.140 Å, 109.22 90.00 90.00°
Element x y z (fractional)
Se 0.000 0.245 0.750
Se 0.000 0.755 0.250
Se 0.500 0.247 0.246
Se 0.500 0.753 0.754
Np 0.500 0.000 0.500
Np 0.000 0.500 0.500
Na 0.500 0.500 0.000
Ho 0.000 0.000 0.000



Entry 12:
Entry from the Alexandria database: an optimized crystal structure of Na3HoNp3Se8 (PBE-GGA).

Results
DOS(E_F) (states/eV/f.u.): 28.6
E_tot (eV/atom): -6.33
Raw formation energy (kJ/mol of formula units): -1898

Cell: 8.325 8.325 8.490 Å, 119.38 90.00 120.00°
Element x y z (fractional)
Se 0.743 0.984 0.725
Se 0.242 0.483 0.725
Se 0.241 0.984 0.725
Se 0.257 0.016 0.275
Se 0.257 0.514 0.271
Se 0.759 0.016 0.275
Se 0.743 0.486 0.729
Se 0.758 0.517 0.275
Np 0.500 0.500 0.500
Np 0.500 0.000 0.500
Np 0.000 0.500 0.500
Na 0.000 0.500 0.000
Na 0.000 0.000 0.000
Na 0.500 0.500 0.000
Ho 0.000 0.000 0.500